# 1
VASP calculation (GGA-PBE) on a relaxed RbBeBPb2 crystal.

Cell lengths 4.9880, 4.9880, 6.2801 Å; angles 90.00, 90.00, 90.00 degrees
Fractional positions:
Rb1 0.0000 0.0000 0.0000
Be1 0.5000 0.5000 0.0000
B1 0.0000 0.0000 0.5000
Pb1 0.0000 0.5000 0.5000
Pb2 0.5000 0.0000 0.5000

Results
Spin magnetization, μB/cell: 0.000
Energy, eV for the cell shown: -13.202
ρ, g/cm3: 5.52
Space-group type: P4/mmm (123)

# 2
VASP calculation (GGA-PBE) on a relaxed AcPrNb2O8 crystal.

Cell lengths 7.1028, 7.1028, 7.1028 Å; angles 134.57, 134.57, 66.20 degrees
Fractional positions:
Ac1 0.0000 0.0000 0.0000
Pr1 0.2500 0.7500 0.5000
Nb1 0.5000 0.5000 0.0000
Nb2 0.7500 0.2500 0.5000
O1 0.2635 0.6612 0.0981
O2 0.3388 0.4369 0.6023
O3 0.4220 0.0039 0.0916
O4 0.5631 0.1655 0.9019
O5 0.6695 0.5780 0.5819
O6 0.8345 0.7365 0.3977
O7 0.9123 0.3305 0.9084
O8 0.9961 0.0877 0.4181

Results
Formation energy (no corrections), eV per formula unit: -36.76
Spin magnetization, μB/cell: 0.000
Energy, eV for the cell shown: -105.453
ρ, g/cm3: 6.32
Space-group type: I-4 (82)

# 3
VASP calculation (GGA-PBE) on a relaxed Ta2CdCl crystal.

Cell lengths 5.3296, 5.3296, 5.3296 Å; angles 134.27, 134.27, 66.66 degrees
Fractional positions:
Ta1 0.0000 0.0000 0.0000
Ta2 0.7500 0.2500 0.5000
Cd1 0.2500 0.7500 0.5000
Cl1 0.5000 0.5000 0.0000

Results
Formation energy (no corrections), eV per formula unit: 3.42
E above lowest polymorph, meV/atom: 920
Spin magnetization, μB/cell: 0.004
Energy, eV for the cell shown: -23.049
ρ, g/cm3: 11.08
Space-group type: I-4m2 (119)